# In3BiPd6

A relaxed structure of In3BiPd6 (PBE, the Alexandria database).

Cell and atoms, written as POSCAR:
```
In3BiPd6
1.0
7.072 0.000 0.000
0.000 7.741 -1.038
0.000 -2.739 7.314
Pd Bi In
12 2 6
direct
0.291 0.481 0.894
0.106 0.805 0.654
0.291 0.106 0.519
0.606 0.195 0.346
0.106 0.346 0.195
0.791 0.519 0.106
0.792 0.036 0.964
0.627 0.266 0.734
0.292 0.964 0.036
0.791 0.894 0.481
0.606 0.654 0.805
0.127 0.734 0.266
0.006 0.207 0.793
0.506 0.793 0.207
0.477 0.915 0.696
0.977 0.696 0.915
0.977 0.085 0.304
0.313 0.467 0.533
0.477 0.304 0.085
0.813 0.533 0.467
```

Calculated volume ... 380.3 Å³ per cell
SG ... Cmc2_1, No. 36
Total energy ... -4.70 eV/atom
DOS at the Fermi energy ... 3.546 states/eV/f.u.
DFT formation energy ... -0.37 eV per atom